Material: VOF
Method: DFT, PBE+U
State: optimized geometry

Unit cell a=3.820 b=4.145 c=9.514 alpha=90.00 beta=90.00 gamma=90.00
Space group Imma (No. 74)
One atom of each set of equivalent atoms:
1 V 0.000 0.250 0.134
2 O 0.000 0.250 0.350
3 F 0.000 0.250 0.910

## Properties
total energy	-7.011	eV/atom